Computed, not measured: an optimized crystal structure of Ba8Ni2Rh at the PBE level of DFT.

a = 14.7729 Å, b = 8.5285 Å, c = 8.5086 Å
α = 90.00°, β = 90.38°, γ = 90.00°
With the nearest neighbours (Å) after each atom.
Space group C2/m (No. 12)
One atom of each set of equivalent atoms:
Ba (0.0325, 0.2415, 0.2564) [8 per cell]  1 Rh 3.04, 2 Ni 3.17-3.21
Ba (0.1963, 0.0000, 0.8782) [4 per cell]  1 Rh 3.09, 1 Ni 3.39
Ba (0.2270, 0.5000, 0.5976) [4 per cell]  1 Ni 3.11
Ni (0.0775, 0.0000, 0.5357) [4 per cell]  1 Ni 2.36
Rh (0.0000, 0.0000, 0.0000) [2 per cell]  6 Ba 3.04-3.09

Calculated values
* calculated volume: 536.0 Å³/f.u.
* crystal system: monoclinic


Computed, not measured: an optimized crystal structure of BaNiRh at the PBE level of DFT.

a = 6.5422 Å, b = 6.5422 Å, c = 6.5422 Å
α = 90.00°, β = 90.00°, γ = 90.00°
With the nearest neighbours (Å) after each atom.
Space group F-43m (No. 216)
One atom of each set of equivalent atoms:
Ba (0.0000, 0.0000, 0.0000) [4 per cell]  4 Ni 2.83
Ni (0.2500, 0.2500, 0.2500) [4 per cell]  4 Ba 2.83, 4 Rh 2.83
Rh (0.0000, 0.0000, 0.5000) [4 per cell]  4 Ni 2.83

Calculated values
* calculated volume: 70.0 Å³/f.u.
* crystal system: cubic


Computed, not measured: an optimized crystal structure of Ba2NiRh at the PBE level of DFT.

a = 7.4346 Å, b = 7.4346 Å, c = 7.4346 Å
α = 90.00°, β = 90.00°, γ = 90.00°
With the nearest neighbours (Å) after each atom.
Space group F-43m (No. 216)
One atom of each set of equivalent atoms:
Ba (0.0000, 0.0000, 0.0000) [4 per cell]  4 Ba 3.22, 4 Rh 3.22
Ba (0.2500, 0.2500, 0.2500) [4 per cell]  4 Ba 3.22, 4 Ni 3.22
Ni (0.0000, 0.0000, 0.5000) [4 per cell]  4 Ba 3.22, 4 Rh 3.22
Rh (0.2500, 0.2500, 0.7500) [4 per cell]  4 Ba 3.22, 4 Ni 3.22

Calculated values
* calculated volume: 102.7 Å³/f.u.
* crystal system: cubic


Computed, not measured: an optimized crystal structure of BaNi2Rh at the PBE level of DFT.

a = 4.3093 Å, b = 4.3093 Å, c = 3.8907 Å
α = 90.00°, β = 90.00°, γ = 90.00°
With the nearest neighbours (Å) after each atom.
Space group P4/mmm (No. 123)
One atom of each set of equivalent atoms:
Ba (0.0000, 0.0000, 0.0000) [1 per cell]  8 Ni 2.90, 4 Rh 3.05
Ni (0.0000, 0.5000, 0.5000) [2 per cell]  4 Ba 2.90, 4 Rh 2.90, 4 Ni 3.05
Rh (0.5000, 0.5000, 0.0000) [1 per cell]  8 Ni 2.90, 4 Ba 3.05

Calculated values
* calculated volume: 72.2 Å³/f.u.
* crystal system: tetragonal


Computed, not measured: an optimized crystal structure of BaNiRh at the PBE level of DFT.

a = 3.4906 Å, b = 3.4906 Å, c = 10.8043 Å
α = 90.00°, β = 90.00°, γ = 90.00°
With the nearest neighbours (Å) after each atom.
Space group I4mm (No. 107)
One atom of each set of equivalent atoms:
Ba (0.0000, 0.0000, 0.0000) [2 per cell]  1 Ni 2.96, 1 Rh 2.99
Ni (0.0000, 0.0000, 0.2743) [2 per cell]  4 Rh 2.53
Rh (0.0000, 0.0000, 0.7236) [2 per cell]  4 Ni 2.53

Calculated values
* calculated volume: 65.8 Å³/f.u.
* crystal system: tetragonal


Computed, not measured: an optimized crystal structure of BaNi2Rh at the PBE level of DFT.

a = 5.9955 Å, b = 7.4823 Å, c = 3.1700 Å
α = 90.00°, β = 90.00°, γ = 90.00°
With the nearest neighbours (Å) after each atom.
Space group Cmmm (No. 65)
One atom of each set of equivalent atoms:
Ba (0.0000, 0.0000, 0.0000) [2 per cell]  8 Ni 2.87, 2 Rh 3.00, 2 Ba 3.17
Ni (0.2500, 0.2500, 0.5000) [4 per cell]  4 Ba 2.87, 4 Rh 2.87, 4 Ni 3.00-3.17
Rh (0.0000, 0.5000, 0.0000) [2 per cell]  8 Ni 2.87, 2 Ba 3.00, 2 Rh 3.17

Calculated values
* calculated volume: 71.1 Å³/f.u.
* crystal system: orthorhombic


Computed, not measured: an optimized crystal structure of BaNi2Rh at the PBE level of DFT.

a = 4.4375 Å, b = 4.2444 Å, c = 4.9991 Å
α = 90.00°, β = 95.56°, γ = 90.00°
With the nearest neighbours (Å) after each atom.
Space group P2/m (No. 10)
One atom of each set of equivalent atoms:
Ba (0.0000, 0.0000, 0.0000) [1 per cell]  4 Rh 3.18-3.50, 4 Ni 3.35
Ni (0.2492, 0.5000, 0.5510) [2 per cell]  2 Ni 2.22-2.33, 2 Rh 2.42
Rh (0.5000, 0.0000, 0.5000) [1 per cell]  4 Ni 2.42

Calculated values
* calculated volume: 93.7 Å³/f.u.
* crystal system: monoclinic


Computed, not measured: an optimized crystal structure of Ba2NiRh at the PBE level of DFT.

a = 7.6954 Å, b = 7.7061 Å, c = 3.7254 Å
α = 90.00°, β = 90.00°, γ = 90.00°
With the nearest neighbours (Å) after each atom.
Space group Cmmm (No. 65)
One atom of each set of equivalent atoms:
Ba (0.2500, 0.2500, 0.0000) [4 per cell]  4 Ni 3.30, 4 Rh 3.30
Ni (0.0000, 0.0000, 0.5000) [2 per cell]  8 Ba 3.30
Rh (0.0000, 0.5000, 0.5000) [2 per cell]  8 Ba 3.30

Calculated values
* calculated volume: 110.5 Å³/f.u.
* crystal system: orthorhombic


Computed, not measured: an optimized crystal structure of Ba2NiRh at the PBE level of DFT.

a = 3.6194 Å, b = 3.6194 Å, c = 9.1196 Å
α = 90.00°, β = 90.00°, γ = 90.00°
With the nearest neighbours (Å) after each atom.
Space group P4mm (No. 99)
One atom of each set of equivalent atoms:
Ba (0.0000, 0.0000, 0.0000) [1 per cell]  1 Ni 2.83
Ba (0.5000, 0.5000, 0.4478) [1 per cell]  1 Rh 2.84
Ni (0.0000, 0.0000, 0.6900) [1 per cell]  4 Rh 2.63, 1 Ba 2.83
Rh (0.5000, 0.5000, 0.7587) [1 per cell]  4 Ni 2.63, 1 Ba 2.84

Calculated values
* calculated volume: 119.5 Å³/f.u.
* crystal system: tetragonal


Computed, not measured: an optimized crystal structure of BaNi2Rh at the PBE level of DFT.

a = 3.1636 Å, b = 4.9975 Å, c = 9.3198 Å
α = 90.00°, β = 90.00°, γ = 90.00°
With the nearest neighbours (Å) after each atom.
Space group Imm2 (No. 44)
One atom of each set of equivalent atoms:
Ba (0.0000, 0.0000, 0.0000) [2 per cell]  8 Ni 2.96-3.18, 4 Rh 3.15-3.16, 2 Ba 3.16
Ni (0.0000, 0.0000, 0.4876) [2 per cell]  2 Ni 2.43, 2 Rh 2.59
Ni (0.0000, 0.5000, 0.7897) [2 per cell]  2 Ni 2.43
Rh (0.0000, 0.5000, 0.2079) [2 per cell]  2 Ni 2.59

Calculated values
* calculated volume: 73.7 Å³/f.u.
* crystal system: orthorhombic


Computed, not measured: an optimized crystal structure of BaNi2Rh at the PBE level of DFT.

a = 4.4163 Å, b = 4.1327 Å, c = 5.0885 Å
α = 90.00°, β = 100.57°, γ = 90.00°
With the nearest neighbours (Å) after each atom.
Space group Pm (No. 6)
One atom of each set of equivalent atoms:
Ba (0.0000, 0.0000, 0.0000) [1 per cell]  4 Ni 3.04-3.34, 2 Rh 3.35
Ni (0.3008, 0.5000, 0.6002) [1 per cell]  2 Rh 2.30-2.38, 2 Ni 2.38
Ni (0.5140, 0.0000, 0.4880) [1 per cell]  2 Ni 2.38, 2 Rh 2.40
Rh (0.7779, 0.5000, 0.4474) [1 per cell]  4 Ni 2.30-2.40

Calculated values
* calculated volume: 91.3 Å³/f.u.
* crystal system: monoclinic


Computed, not measured: an optimized crystal structure of Ba2NiRh at the PBE level of DFT.

a = 4.3586 Å, b = 4.4462 Å, c = 15.2540 Å
α = 90.00°, β = 90.00°, γ = 90.00°
With the nearest neighbours (Å) after each atom.
Space group Imm2 (No. 44)
One atom of each set of equivalent atoms:
Ba (0.0000, 0.0000, 0.0000) [2 per cell]  2 Ni 3.16, 4 Rh 3.40
Ba (0.0000, 0.5000, 0.2678) [2 per cell]  2 Rh 3.12, 4 Ni 3.37
Ni (0.0000, 0.5000, 0.8528) [2 per cell]  2 Rh 2.35
Rh (0.0000, 0.0000, 0.4110) [2 per cell]  2 Ni 2.35

Calculated values
* calculated volume: 147.8 Å³/f.u.
* crystal system: orthorhombic


Here are the calculated formation energy from the elements numbers, same order: -19; 532; 412; 576; 179; 577; 244; 208; 191; 522; 212; -39 (meV/atom).
Here are the calculated Fermi-level density of states numbers, same order: 0.879; 2.401; 2.029; 1.270; 1.317; 1.463; 1.193; 1.098; 1.694; 1.742; 1.174; 0.970 (states/eV per atom).
Here are the calculated density numbers, same order: 4.1; 7.1; 7.1; 8.2; 7.5; 8.4; 6.3; 6.6; 6.1; 8.1; 6.5; 4.9 (g/cm3).